(1)
Computed, not measured: a relaxed KZnCdAu2 crystal at the PBE level of DFT.

abc: 4.5371 4.5371 6.8063
angles: 109.47 109.47 90.00
With the nearest neighbours (Å) after each atom.
Fractional positions:
K (0.0000, 0.0000, 0.0000)  8 Au 3.49, 4 Zn 3.76, 4 Cd 3.76
Zn (0.7500, 0.2500, 0.5000)  4 Au 2.79
Cd (0.2500, 0.7500, 0.5000)  4 Au 2.79
Au (0.6153, 0.6153, 0.2307)  1 Au 2.77, 2 Zn 2.79, 2 Cd 2.79
Au (0.3847, 0.3847, 0.7693)  1 Au 2.77, 2 Cd 2.79, 2 Zn 2.79

(2)
Computed, not measured: a relaxed KZn2CdAu4 crystal at the PBE level of DFT.

abc: 5.0376 5.0376 8.3616
angles: 72.47 72.47 60.00
With the nearest neighbours (Å) after each atom.
Fractional positions:
Au (0.3822, 0.3822, 0.8533)  4 Zn 2.66-2.93, 1 Cd 2.77
Au (0.1599, 0.1599, 0.5204)  1 Zn 2.57
Au (0.6178, 0.6178, 0.1467)  4 Zn 2.66-2.93, 1 Cd 2.77
K (0.0000, 0.0000, 0.0000)  6 Au 3.13, 6 Zn 3.28
Au (0.8401, 0.8401, 0.4796)  1 Zn 2.57
Zn (0.7307, 0.7307, 0.8079)  2 Au 2.57-2.66
Cd (0.5000, 0.5000, 0.5000)  8 Au 2.77-2.91
Zn (0.2693, 0.2693, 0.1921)  2 Au 2.57-2.66

(3)
Computed, not measured: a relaxed KZrCd2Au crystal at the PBE level of DFT.

abc: 5.6574 6.0546 5.6574
angles: 90.00 90.00 90.00
With the nearest neighbours (Å) after each atom.
Fractional positions:
Zr (0.0000, 0.5000, 0.0000)  2 K 3.03
Cd (0.0000, 0.0000, 0.5000)  2 K 2.83
Au (0.5000, 0.5000, 0.5000)  4 Zr 4.00, 8 Cd 4.14
K (0.0000, 0.0000, 0.0000)  4 Cd 2.83, 2 Zr 3.03
Cd (0.5000, 0.0000, 0.0000)  2 K 2.83

(4)
Computed, not measured: a relaxed LaCd2Au2 crystal at the PBE level of DFT.

abc: 5.1252 5.1252 5.9811
angles: 64.63 64.63 90.00
With the nearest neighbours (Å) after each atom.
Fractional positions:
Cd (0.6409, 0.6409, 0.7182)  1 Cd 2.68, 4 Au 2.76
La (0.0000, 0.0000, 0.0000)  2 Cd 3.42, 8 Au 3.50
Au (0.7500, 0.2500, 0.5000)  4 Cd 2.76
Cd (0.3591, 0.3591, 0.2818)  1 Cd 2.68, 4 Au 2.76
Au (0.2500, 0.7500, 0.5000)  4 Cd 2.76

**Distance to the lowest polymorph of the same formula**: 0.142 eV/atom

Electronic total energy, record by record: -2.19 -2.25 -1.43 -3.06 eV/atom
Calculated formation energy, record by record: -5.07 -0.97 34.97 -9.20 kcal/mol of atoms